1.
# Sc2NbTl, relaxed, DFT PBE
data_Sc2NbTl
_chemical_formula_sum 'Sc6 Nb3 Tl3'
_cell_length_a 3.171
_cell_length_b 3.171
_cell_length_c 31.725
_cell_angle_alpha 90.00
_cell_angle_beta 90.00
_cell_angle_gamma 120.00
_space_group_name_H-M_alt 'P 1'
_space_group_IT_number 1
loop_
_space_group_symop_operation_xyz
'x,y,z'
loop_
_atom_site_label
_atom_site_type_symbol
_atom_site_fract_x
_atom_site_fract_y
_atom_site_fract_z
Sc1 Sc 0.000 0.000 0.087
Sc2 Sc 0.000 0.000 0.913
Sc3 Sc 0.333 0.667 0.580
Sc4 Sc 0.333 0.667 0.753
Sc5 Sc 0.667 0.333 0.247
Sc6 Sc 0.667 0.333 0.420
Nb1 Nb 0.000 0.000 0.000
Nb2 Nb 0.333 0.667 0.667
Nb3 Nb 0.667 0.333 0.333
Tl1 Tl 0.000 0.000 0.500
Tl2 Tl 0.333 0.667 0.167
Tl3 Tl 0.667 0.333 0.833
# * ρ: 6.98 g/cm3
# * VASP energy: -70.9 eV/cell
# * energy relative to the elements: 363.7 meV per atom
# * excess energy over the best structure of this formula in the dataset: 399 meV per atom
# * magnetization: 0.212 μB per atom


2.
# PrAs2Pd, relaxed, DFT PBE
data_PrAs2Pd
_chemical_formula_sum 'Pr3 As6 Pd3'
_cell_length_a 3.963
_cell_length_b 3.963
_cell_length_c 24.115
_cell_angle_alpha 90.00
_cell_angle_beta 90.00
_cell_angle_gamma 120.00
_space_group_name_H-M_alt 'P 1'
_space_group_IT_number 1
loop_
_space_group_symop_operation_xyz
'x,y,z'
loop_
_atom_site_label
_atom_site_type_symbol
_atom_site_fract_x
_atom_site_fract_y
_atom_site_fract_z
Pr1 Pr 0.000 0.000 0.000
Pr2 Pr 0.333 0.667 0.667
Pr3 Pr 0.667 0.333 0.333
As1 As 0.000 0.000 0.122
As2 As 0.000 0.000 0.878
As3 As 0.333 0.667 0.544
As4 As 0.333 0.667 0.789
As5 As 0.667 0.333 0.211
As6 As 0.667 0.333 0.456
Pd1 Pd 0.000 0.000 0.500
Pd2 Pd 0.333 0.667 0.167
Pd3 Pd 0.667 0.333 0.833
# * ρ: 6.03 g/cm3
# * VASP energy: -59.3 eV/cell
# * energy relative to the elements: -126.3 meV per atom
# * magnetization: 0.000 μB per atom


3.
# TaV2Ga, relaxed, DFT PBE
data_TaV2Ga
_chemical_formula_sum 'Ta2 V4 Ga2'
_cell_length_a 4.395
_cell_length_b 5.302
_cell_length_c 5.184
_cell_angle_alpha 90.00
_cell_angle_beta 90.00
_cell_angle_gamma 90.00
_space_group_name_H-M_alt 'P 1'
_space_group_IT_number 1
loop_
_space_group_symop_operation_xyz
'x,y,z'
loop_
_atom_site_label
_atom_site_type_symbol
_atom_site_fract_x
_atom_site_fract_y
_atom_site_fract_z
Ta1 Ta 0.250 0.250 0.123
Ta2 Ta 0.750 0.750 0.877
V1 V 0.250 0.514 0.641
V2 V 0.250 0.986 0.641
V3 V 0.750 0.014 0.359
V4 V 0.750 0.486 0.359
Ga1 Ga 0.250 0.750 0.185
Ga2 Ga 0.750 0.250 0.815
# * ρ: 9.69 g/cm3
# * VASP energy: -66.7 eV/cell
# * energy relative to the elements: -64.3 meV per atom
# * magnetization: 0.000 μB per atom


4.
# TaS2NCl, relaxed, DFT PBE
data_TaS2NCl
_chemical_formula_sum 'Ta1 S2 N1 Cl1'
_cell_length_a 4.757
_cell_length_b 4.757
_cell_length_c 4.971
_cell_angle_alpha 90.00
_cell_angle_beta 90.00
_cell_angle_gamma 90.00
_space_group_name_H-M_alt 'P 1'
_space_group_IT_number 1
loop_
_space_group_symop_operation_xyz
'x,y,z'
loop_
_atom_site_label
_atom_site_type_symbol
_atom_site_fract_x
_atom_site_fract_y
_atom_site_fract_z
Ta1 Ta 0.000 0.000 0.000
S1 S 0.000 0.500 0.000
S2 S 0.500 0.000 0.000
N1 N 0.500 0.500 0.500
Cl1 Cl 0.000 0.000 0.500
# * ρ: 4.35 g/cm3
# * energy relative to the elements, uncorrected: 2.44 eV per formula unit
# * VASP energy: -27.8 eV/cell
# * excess energy over the best structure of this formula in the dataset: 299 meV per atom
# * magnetization: 0.601 μB per atom


5.
# HAuI4, relaxed, DFT PBE
data_HAuI4
_chemical_formula_sum 'H2 Au2 I8'
_cell_length_a 9.136
_cell_length_b 9.136
_cell_length_c 9.136
_cell_angle_alpha 100.92
_cell_angle_beta 100.92
_cell_angle_gamma 128.39
_space_group_name_H-M_alt 'P 1'
_space_group_IT_number 1
loop_
_space_group_symop_operation_xyz
'x,y,z'
loop_
_atom_site_label
_atom_site_type_symbol
_atom_site_fract_x
_atom_site_fract_y
_atom_site_fract_z
H1 H 0.000 0.000 0.000
H2 H 0.750 0.250 0.500
Au1 Au 0.099 0.599 0.500
Au2 Au 0.349 0.349 0.000
I1 I 0.089 0.242 0.153
I2 I 0.089 0.937 0.847
I3 I 0.169 0.831 0.338
I4 I 0.493 0.831 0.662
I5 I 0.581 0.419 0.838
I6 I 0.581 0.743 0.162
I7 I 0.687 0.339 0.347
I8 I 0.992 0.339 0.653
# * ρ: 4.35 g/cm3
# * VASP energy: -24.7 eV/cell
# * excess energy over the best structure of this formula in the dataset: 21 meV per atom
# * magnetization: 0.000 μB per atom


6.
# SrReAg2, relaxed, DFT PBE
data_SrReAg2
_chemical_formula_sum 'Sr2 Re2 Ag4'
_cell_length_a 4.330
_cell_length_b 4.330
_cell_length_c 9.211
_cell_angle_alpha 90.00
_cell_angle_beta 90.00
_cell_angle_gamma 90.00
_space_group_name_H-M_alt 'P 1'
_space_group_IT_number 1
loop_
_space_group_symop_operation_xyz
'x,y,z'
loop_
_atom_site_label
_atom_site_type_symbol
_atom_site_fract_x
_atom_site_fract_y
_atom_site_fract_z
Sr1 Sr 0.000 0.000 0.000
Sr2 Sr 0.500 0.500 0.500
Re1 Re 0.000 0.500 0.250
Re2 Re 0.500 0.000 0.750
Ag1 Ag 0.000 0.000 0.500
Ag2 Ag 0.000 0.500 0.750
Ag3 Ag 0.500 0.000 0.250
Ag4 Ag 0.500 0.500 0.000
# * ρ: 9.41 g/cm3
# * VASP energy: -32.6 eV/cell
# * energy relative to the elements: 884.3 meV per atom
# * excess energy over the best structure of this formula in the dataset: 212 meV per atom
# * magnetization: 0.660 μB per atom


Which value of VASP energy does entry 6 give?
-32.6 eV/cell